Entry 1:
This record from the Alexandria database describes K2CuH14C4N6O8 after structural relaxation. The functional is PBEsol.

The uncorrected energy comes out at -426.75 eV for the cell shown. As for the total magnetization: 2.00 Bohr magnetons per cell. Its space group is P2_1/c, No. 14.

```
K2CuH14C4N6O8
1.0
3.858 0.000 0.000
0.000 12.590 0.000
-2.797 0.000 13.621
K Cu H C N O
4 2 28 8 12 16
Cartesian
-0.091 0.982 4.877
-1.490 5.312 11.688
2.551 7.277 1.933
1.152 11.607 8.744
0.000 0.000 0.000
-1.399 6.295 6.811
-2.225 2.173 12.300
-0.826 4.122 5.489
-1.117 1.441 7.829
0.282 4.854 1.018
-1.504 0.279 11.394
-0.105 6.016 4.583
-0.770 1.490 9.428
0.629 4.805 2.618
-1.055 8.961 12.076
0.344 9.923 5.265
-0.155 8.341 8.861
1.243 10.544 2.050
1.085 3.125 3.621
-0.314 3.170 10.432
1.375 9.420 3.190
-0.024 9.465 10.000
-0.183 2.046 11.571
1.216 4.249 4.761
0.717 2.666 8.356
2.116 3.628 1.546
0.432 7.785 11.004
1.831 11.100 4.193
1.166 6.574 9.038
2.565 12.311 2.228
0.779 7.735 12.603
2.177 11.149 5.792
1.887 8.467 8.132
3.286 10.417 1.322
-0.830 9.212 6.755
-2.229 9.672 13.566
0.116 7.917 4.830
-1.283 10.967 11.640
2.343 1.623 1.981
0.945 4.672 8.792
3.290 2.918 0.056
1.891 3.377 6.866
-1.295 8.155 7.414
0.103 10.730 0.603
-0.349 6.757 5.248
-1.748 12.127 12.058
-0.090 9.051 5.602
-1.488 9.833 12.413
2.549 2.756 1.209
1.151 3.539 8.019
2.809 0.463 1.563
1.410 5.832 8.374
0.958 1.860 13.019
2.356 4.435 6.208
0.394 8.456 0.311
-1.005 10.429 7.122
-0.582 1.010 8.565
0.817 5.285 1.754
-0.796 2.362 10.847
0.602 3.933 4.037
0.742 8.093 3.722
-0.657 10.792 10.533
1.718 1.798 3.089
0.319 4.497 9.899
0.459 8.657 9.585
1.857 10.228 2.774
0.244 7.305 11.867
1.642 11.580 5.057
2.066 2.161 6.500
0.667 4.134 13.310
```

Entry 2:
This record from the Alexandria database describes Hf2InNi2 after structural relaxation. The functional is PBEsol.

As for the total magnetization: 0.00 Bohr magnetons per cell. The value obtained for the formation energy is -0.549 eV/atom. Its space group is P4_2/mnm, No. 136.

```
Hf2InNi2
1.0
7.067 0.000 0.000
0.000 7.067 0.000
0.000 0.000 6.523
Hf In Ni
8 4 8
Cartesian
1.108 1.108 0.000
1.231 1.231 3.262
2.302 4.765 0.000
2.425 4.642 3.262
4.642 2.425 3.262
4.765 2.302 0.000
5.836 5.836 3.262
5.959 5.959 0.000
0.000 3.534 1.631
0.000 3.534 4.892
3.534 0.000 1.631
3.534 0.000 4.892
0.890 6.178 1.775
0.890 6.178 4.748
2.644 2.644 1.487
2.644 2.644 5.036
4.423 4.423 1.487
4.423 4.423 5.036
6.178 0.890 1.775
6.178 0.890 4.748
```

Entry 3:
This record from the Alexandria database describes ScMn2Se after structural relaxation. The functional is PBEsol.

As for the total magnetization: 4.91 Bohr magnetons per cell. Its space group is I-4m2, No. 119. The calculation puts the uncorrected formation energy at -0.04 eV per atom.

```
ScMn2Se
1.0
-1.897 1.897 4.066
1.897 -1.897 4.066
1.897 1.897 -4.066
Sc Mn Se
1 2 1
Cartesian
0.000 0.000 0.000
1.897 0.000 2.033
0.000 0.000 4.066
0.000 1.897 2.033
```

Entry 4:
This record from the Alexandria database describes TmPPd after structural relaxation. The functional is PBEsol.

As for the total magnetization: 0.00 Bohr magnetons per cell. The value obtained for the formation energy is -1.345 eV/atom. Its space group is Pnma, No. 62.

```
TmPPd
1.0
6.723 0.000 0.000
0.000 3.925 0.000
0.000 0.000 7.605
Tm P Pd
4 4 4
Cartesian
0.202 0.981 1.413
3.160 2.944 5.216
3.563 0.981 2.389
6.522 2.944 6.192
1.670 2.944 2.862
1.691 0.981 6.665
5.032 2.944 0.940
5.053 0.981 4.742
0.975 0.981 4.267
2.387 2.944 0.465
4.337 0.981 7.140
5.748 2.944 3.338
```